(1)
KZr2P | PBE | optimized geometry

Summary:
crystal system: trigonal
mass density: 3.708 Mg/m³
total magnetization: 0.00 μB/f.u.
energy of formation: -31.0 kJ per mole of atoms
raw total energy: -24.89 eV for the cell shown

abc: 10.0034 10.0034 10.0034
angles: 21.05 21.05 21.05
Closest atoms and distances in Å follow each position.
Fractional coordinates of all 4 atoms:
K (0.0000, 0.0000, 0.0000)  6 K 3.65, 6 Zr 4.06
Zr (0.2151, 0.2151, 0.2151)  3 P 2.54
Zr (0.7849, 0.7849, 0.7849)  3 P 2.54
P (0.5000, 0.5000, 0.5000)  6 Zr 2.54

=====

(2)
Ca2NbPt2 | PBE | optimized geometry

Summary:
crystal system: tetragonal
mass density: 7.447 Mg/m³
polymorph energy (0 for the lowest one): 719 meV/atom
total magnetization: 0.76 μB/f.u.
energy of formation: 18.3 kJ per mole of atoms
raw total energy: -25.21 eV for the cell shown

abc: 9.7681 9.7681 9.7681
angles: 158.46 158.46 30.65
Closest atoms and distances in Å follow each position.
Fractional coordinates of all 5 atoms:
Ca (0.1225, 0.1225, 0.0000)  4 Pt 3.02
Ca (0.8775, 0.8775, 0.0000)  4 Pt 3.02
Nb (0.5000, 0.5000, 0.0000)  8 Ca 3.46, 4 Nb 3.65
Pt (0.2500, 0.7500, 0.5000)  4 Pt 2.58
Pt (0.7500, 0.2500, 0.5000)  4 Pt 2.58

=====

(3)
CdNi | PBE | optimized geometry

Summary:
crystal system: cubic
mass density: 5.802 Mg/m³
total magnetization: 0.00 μB/f.u.
energy of formation: 94.8 kJ per mole of atoms
raw total energy: -4.73 eV for the cell shown

abc: 4.1066 4.1066 4.1066
angles: 60.00 60.00 60.00
Closest atoms and distances in Å follow each position.
Fractional coordinates of all 2 atoms:
Cd (0.0000, 0.0000, 0.0000)  4 Ni 2.51
Ni (0.7500, 0.7500, 0.7500)  4 Cd 2.51

=====

(4)
NpGaSi2 | PBE | optimized geometry

Summary:
crystal system: tetragonal
formation energy from raw total energies: 8 kJ/mol of atoms
mass density: 8.885 Mg/m³
polymorph energy (0 for the lowest one): 291 meV/atom
total magnetization: 0.11 μB/f.u.
raw total energy: -26.50 eV for the cell shown

abc: 5.1844 5.1844 2.5233
angles: 90.00 90.00 90.00
Closest atoms and distances in Å follow each position.
Fractional coordinates of all 4 atoms:
Np (0.0000, 0.0000, 0.0000)  2 Np 2.52
Ga (0.5000, 0.5000, 0.0000)  2 Ga 2.52
Si (0.0000, 0.5000, 0.5000)  2 Si 2.52
Si (0.5000, 0.0000, 0.5000)  2 Si 2.52

=====

(5)
RbLiU2I8 | PBE | optimized geometry

Summary:
crystal system: trigonal
formation energy from raw total energies: -89 kJ/mol of atoms
mass density: 5.101 Mg/m³
total magnetization: 6.00 μB/f.u.
raw total energy: -48.91 eV for the cell shown

abc: 7.9516 7.9516 9.4158
angles: 90.00 90.00 120.00
Closest atoms and distances in Å follow each position.
Fractional coordinates of all 12 atoms:
Rb (0.0000, 0.0000, 0.0000)  6 I 4.12
Li (0.0000, 0.0000, 0.5000)  6 I 2.99
U (0.3333, 0.6667, 0.4123)  7 I 3.06-3.29
U (0.6667, 0.3333, 0.5877)  7 I 3.06-3.29
I (0.0686, 0.3542, 0.6600)  1 Li 2.99, 2 U 3.19-3.29
I (0.2857, 0.9314, 0.6600)  1 Li 2.99, 2 U 3.19-3.29
I (0.3333, 0.6667, 0.0877)  1 U 3.06
I (0.3542, 0.2857, 0.3400)  1 Li 2.99, 2 U 3.19-3.29
I (0.6458, 0.7143, 0.6600)  1 Li 2.99, 2 U 3.19-3.29
I (0.6667, 0.3333, 0.9123)  1 U 3.06
I (0.7143, 0.0686, 0.3400)  1 Li 2.99, 2 U 3.19-3.29
I (0.9314, 0.6458, 0.3400)  1 Li 2.99, 2 U 3.19-3.29

=====

(6)
Mn2CrAg | PBE | optimized geometry

Summary:
crystal system: tetragonal
mass density: 7.553 Mg/m³
polymorph energy (0 for the lowest one): 78 meV/atom
total magnetization: 3.78 μB/f.u.
energy of formation: 31.1 kJ per mole of atoms
raw total energy: -29.53 eV for the cell shown

abc: 4.8703 4.8703 4.8703
angles: 133.73 133.73 67.50
Closest atoms and distances in Å follow each position.
Fractional coordinates of all 4 atoms:
Mn (0.0000, 0.0000, 0.0000)  4 Ag 2.71, 4 Cr 2.79, 4 Mn 2.79
Mn (0.7500, 0.2500, 0.5000)  4 Cr 2.71, 4 Mn 2.79, 4 Ag 2.79
Cr (0.2500, 0.7500, 0.5000)  8 Mn 2.71-2.79, 4 Ag 2.79
Ag (0.5000, 0.5000, 0.0000)  8 Mn 2.71-2.79, 4 Cr 2.79

=====

(7)
CaBiAu6 | PBE | optimized geometry

Summary:
crystal system: cubic
mass density: 14.089 Mg/m³
total magnetization: 0.00 μB/f.u.
energy of formation: -21.2 kJ per mole of atoms
raw total energy: -27.30 eV for the cell shown

abc: 5.5249 5.5249 5.5249
angles: 90.00 90.00 90.00
Closest atoms and distances in Å follow each position.
Fractional coordinates of all 8 atoms:
Ca (0.0000, 0.0000, 0.0000)  12 Au 3.08
Bi (0.5000, 0.5000, 0.5000)  12 Au 3.09
Au (0.0000, 0.2480, 0.5000)  2 Au 2.74-2.78
Au (0.0000, 0.7520, 0.5000)  2 Au 2.74-2.78
Au (0.2480, 0.5000, 0.0000)  2 Au 2.74-2.78
Au (0.5000, 0.0000, 0.2480)  2 Au 2.74-2.78
Au (0.5000, 0.0000, 0.7520)  2 Au 2.74-2.78
Au (0.7520, 0.5000, 0.0000)  2 Au 2.74-2.78

=====

(8)
LuH5 | PBE | optimized geometry

Summary:
crystal system: orthorhombic
mass density: 7.355 Mg/m³
total magnetization: 0.00 μB/f.u.
raw total energy: -20.23 eV for the cell shown

abc: 3.9066 3.9066 3.4015
angles: 90.00 90.00 128.48
Closest atoms and distances in Å follow each position.
Fractional coordinates of all 6 atoms:
Lu (0.0000, 0.0000, 0.0000)  10 H 2.10-2.17
H (0.1751, 0.8249, 0.5000)  6 H 1.94-2.10, 2 Lu 2.10
H (0.3080, 0.6920, 0.0000)  4 H 1.88-1.94
H (0.5000, 0.5000, 0.5000)  10 H 2.10-2.29
H (0.6920, 0.3080, 0.0000)  4 H 1.88-1.94
H (0.8249, 0.1751, 0.5000)  6 H 1.94-2.10, 2 Lu 2.10

=====

(9)
Ca4PmPr3 | PBE | optimized geometry

Summary:
crystal system: orthorhombic
mass density: 3.918 Mg/m³
total magnetization: 0.00 μB/f.u.
energy of formation: 1.9 kJ per mole of atoms
raw total energy: -53.88 eV for the cell shown

abc: 5.3594 10.7177 10.7446
angles: 90.00 90.00 90.00
Closest atoms and distances in Å follow each position.
Fractional coordinates of all 16 atoms:
Ca (0.2500, 0.0007, 0.1335)  8 Ca 3.78-3.94, 1 Pm 3.83, 3 Pr 3.83
Ca (0.2500, 0.2500, 0.8671)  8 Ca 3.79-3.93, 4 Pr 3.83-3.84
Ca (0.2500, 0.4993, 0.1335)  8 Ca 3.78-3.94, 1 Pm 3.83, 3 Pr 3.83
Ca (0.2500, 0.7500, 0.8658)  8 Ca 3.78-3.94, 2 Pr 3.82, 2 Pm 3.83
Ca (0.7500, 0.2500, 0.1342)  8 Ca 3.78-3.94, 2 Pr 3.82, 2 Pm 3.83
Ca (0.7500, 0.5007, 0.8665)  8 Ca 3.78-3.94, 1 Pm 3.83, 3 Pr 3.83
Ca (0.7500, 0.7500, 0.1329)  8 Ca 3.79-3.93, 4 Pr 3.83-3.84
Ca (0.7500, 0.9993, 0.8665)  8 Ca 3.78-3.94, 1 Pm 3.83, 3 Pr 3.83
Pm (0.2500, 0.2500, 0.3887)  8 Pr 3.60-3.79, 4 Ca 3.83
Pm (0.7500, 0.7500, 0.6113)  8 Pr 3.60-3.79, 4 Ca 3.83
Pr (0.2500, 0.9997, 0.6117)  5 Pr 3.60-3.79, 3 Pm 3.60-3.79, 4 Ca 3.82-3.84
Pr (0.2500, 0.5003, 0.6117)  5 Pr 3.60-3.79, 3 Pm 3.60-3.79, 4 Ca 3.82-3.84
Pr (0.2500, 0.7500, 0.3882)  2 Pm 3.60, 6 Pr 3.60-3.79, 4 Ca 3.83
Pr (0.7500, 0.0003, 0.3883)  5 Pr 3.60-3.79, 3 Pm 3.60-3.79, 4 Ca 3.82-3.84
Pr (0.7500, 0.2500, 0.6118)  2 Pm 3.60, 6 Pr 3.60-3.79, 4 Ca 3.83
Pr (0.7500, 0.4997, 0.3883)  5 Pr 3.60-3.79, 3 Pm 3.60-3.79, 4 Ca 3.82-3.84

=====

(10)
Sc2BePtN | PBE | optimized geometry

Summary:
crystal system: tetragonal
formation energy from raw total energies: -111 kJ/mol of atoms
mass density: 7.367 Mg/m³
total magnetization: 0.00 μB/f.u.
raw total energy: -36.53 eV for the cell shown

abc: 4.5197 4.5197 3.3986
angles: 90.00 90.00 90.00
Closest atoms and distances in Å follow each position.
Fractional coordinates of all 5 atoms:
Sc (0.0000, 0.5000, 0.0000)  2 N 2.26
Sc (0.5000, 0.0000, 0.0000)  2 N 2.26
Be (0.0000, 0.0000, 0.5000)  2 N 1.70
Pt (0.5000, 0.5000, 0.5000)  8 Sc 2.83
N (0.0000, 0.0000, 0.0000)  2 Be 1.70

=====

(11)
Ba2AcOs2N6 | PBE | optimized geometry

Summary:
crystal system: trigonal
formation energy from raw total energies: -43 kJ/mol of atoms
mass density: 7.330 Mg/m³
total magnetization: 0.00 μB/f.u.
raw total energy: -85.22 eV for the cell shown

abc: 7.4639 7.4639 7.4639
angles: 49.20 49.20 49.20
Closest atoms and distances in Å follow each position.
Fractional coordinates of all 11 atoms:
Ba (0.2124, 0.2124, 0.2124)  9 N 3.01-3.16
Ba (0.7876, 0.7876, 0.7876)  9 N 3.01-3.16
Ac (0.0000, 0.0000, 0.0000)  6 N 2.56
Os (0.4075, 0.4075, 0.4075)  3 N 1.78
Os (0.5925, 0.5925, 0.5925)  3 N 1.78
N (0.2500, 0.7384, 0.7384)  1 Os 1.78
N (0.2616, 0.2616, 0.7500)  1 Os 1.78
N (0.2616, 0.7500, 0.2616)  1 Os 1.78
N (0.7384, 0.2500, 0.7384)  1 Os 1.78
N (0.7384, 0.7384, 0.2500)  1 Os 1.78
N (0.7500, 0.2616, 0.2616)  1 Os 1.78

=====

(12)
TbNdCl | PBE | optimized geometry

Summary:
crystal system: trigonal
formation energy from raw total energies: -87 kJ/mol of atoms
mass density: 6.462 Mg/m³
polymorph energy (0 for the lowest one): 7 meV/atom
total magnetization: 0.43 μB/f.u.
raw total energy: -13.96 eV for the cell shown

abc: 3.7339 3.7339 7.2068
angles: 90.00 90.00 120.00
Closest atoms and distances in Å follow each position.
Fractional coordinates of all 3 atoms:
Tb (0.0000, 0.0000, 0.0000)  3 Cl 3.01
Nd (0.3333, 0.6667, 0.6158)  3 Cl 3.18, 3 Tb 3.51
Cl (0.6667, 0.3333, 0.2921)  3 Tb 3.01, 3 Nd 3.18